1.
Ca4P2H | Alexandria | GGA-PBE | relaxed; magnetization = 0.000 μB per formula unit; theoretical density = 2.44 g/cm³; total DFT energy (no corrections) = -4.05 eV per atom; energy relative to the lowest polymorph listed for this composition = 0.259 eV per formula unit
1.0
-0.500 0.461 4.378
-4.008 -1.871 -0.261
0.928 -7.676 3.155
P Ca H
2 4 1
direct
0.368 0.368 0.265
0.632 0.632 0.735
0.181 0.181 0.638
0.819 0.819 0.362
0.000 0.500 0.000
0.500 0.000 0.000
0.000 0.000 0.000

2.
CaP2H | Alexandria | GGA-PBE | relaxed; magnetization = 0.393 μB per formula unit; theoretical density = 2.47 g/cm³; total DFT energy (no corrections) = -3.49 eV per atom; energy relative to the lowest polymorph listed for this composition = 2.575 eV per formula unit
1.0
0.000 3.260 3.260
3.260 0.000 3.260
3.260 3.260 0.000
P Ca H
2 1 1
direct
0.250 0.250 0.250
0.750 0.750 0.750
0.500 0.500 0.500
0.000 0.000 0.000

3.
CaPH | Alexandria | GGA-PBE | relaxed; magnetization = 0.000 μB per formula unit; theoretical density = 2.37 g/cm³; total DFT energy (no corrections) = -4.15 eV per atom; energy relative to the lowest polymorph listed for this composition = 0.536 eV per formula unit
1.0
-5.519 5.137 -0.231
-1.841 -2.077 -2.202
-3.335 -3.317 5.918
P Ca H
4 4 4
direct
0.250 0.250 0.445
0.250 0.750 0.945
0.750 0.750 0.555
0.750 0.250 0.055
0.000 0.250 0.750
0.500 0.750 0.250
0.000 0.750 0.250
0.500 0.250 0.750
0.750 0.250 0.566
0.750 0.750 0.066
0.250 0.750 0.434
0.250 0.250 0.934

4.
CaPH | Alexandria | GGA-PBE | relaxed; magnetization = 0.000 μB per formula unit; theoretical density = 2.20 g/cm³; total DFT energy (no corrections) = -4.28 eV per atom; energy relative to the lowest polymorph listed for this composition = 0.129 eV per formula unit
1.0
5.993 0.000 0.000
0.000 5.921 0.000
0.000 0.000 6.128
P Ca H
4 4 4
direct
0.252 0.250 0.491
0.248 0.750 0.991
0.748 0.750 0.509
0.752 0.250 0.009
0.761 0.250 0.483
0.739 0.750 0.983
0.239 0.750 0.517
0.261 0.250 0.017
0.916 0.250 0.836
0.584 0.750 0.336
0.084 0.750 0.164
0.416 0.250 0.664

5.
CaP2H8 | Alexandria | GGA-PBE | relaxed; magnetization = 0.000 μB per formula unit; theoretical density = 1.30 g/cm³; total DFT energy (no corrections) = -3.69 eV per atom
1.0
-6.858 -3.353 1.245
-0.767 -5.866 4.003
-5.196 3.298 4.283
Ca P H
2 4 16
direct
0.226 0.750 0.250
0.774 0.250 0.750
0.814 0.928 0.033
0.225 0.428 0.533
0.775 0.572 0.467
0.186 0.072 0.967
0.607 0.668 0.404
0.196 0.963 0.492
0.742 0.014 0.247
0.270 0.212 0.465
0.258 0.986 0.753
0.946 0.288 0.035
0.730 0.788 0.535
0.997 0.514 0.747
0.054 0.712 0.965
0.678 0.832 0.096
0.349 0.463 0.992
0.651 0.537 0.008
0.322 0.168 0.904
0.003 0.486 0.253
0.393 0.332 0.596
0.804 0.037 0.508

6.
CaPH | Alexandria | GGA-PBE | relaxed; magnetization = 0.000 μB per formula unit; theoretical density = 2.09 g/cm³; total DFT energy (no corrections) = -4.21 eV per atom; energy relative to the lowest polymorph listed for this composition = 0.347 eV per formula unit
1.0
4.123 0.000 0.000
0.000 4.123 0.000
-2.061 -2.061 3.376
P Ca H
1 1 1
direct
0.545 0.545 0.090
0.972 0.972 0.944
0.333 0.333 0.666

7.
Ca4P2H | Alexandria | GGA-PBE | relaxed; magnetization = 0.092 μB per formula unit; theoretical density = 2.06 g/cm³; total DFT energy (no corrections) = -3.94 eV per atom; energy relative to the lowest polymorph listed for this composition = 1.028 eV per formula unit
1.0
4.304 0.000 0.000
0.000 7.177 -0.058
-2.152 -3.513 5.852
Ca P H
4 2 1
direct
0.886 0.167 0.771
0.114 0.833 0.229
0.652 0.273 0.304
0.348 0.727 0.696
0.700 0.706 0.400
0.300 0.294 0.600
0.000 0.000 0.000

8.
Ca3P2H | Alexandria | GGA-PBE | relaxed; magnetization = 0.000 μB per formula unit; theoretical density = 2.29 g/cm³; total DFT energy (no corrections) = -4.25 eV per atom
1.0
-2.842 -0.298 -2.222
2.813 0.391 -3.651
0.940 -7.920 2.808
Ca P H
3 2 1
direct
0.000 0.500 0.000
0.833 0.833 0.666
0.167 0.167 0.334
0.648 0.648 0.295
0.352 0.352 0.705
0.000 0.000 0.000

9.
Ca4PH2 | Alexandria | GGA-PBE | relaxed; magnetization = 0.972 μB per formula unit; theoretical density = 1.76 g/cm³; total DFT energy (no corrections) = -3.29 eV per atom
1.0
-4.875 -0.925 -2.240
-2.217 -0.331 4.961
-4.655 5.433 1.270
P Ca H
1 4 2
direct
0.000 0.000 0.000
0.767 0.767 0.466
0.233 0.233 0.534
0.000 0.500 0.000
0.500 0.000 0.000
0.589 0.589 0.822
0.411 0.411 0.178

10.
Ca2PHPd | Alexandria | GGA-PBE | relaxed; magnetization = 0.000 μB per formula unit; theoretical density = 4.05 g/cm³; total DFT energy (no corrections) = -4.34 eV per atom
1.0
-4.165 -0.595 2.629
-2.109 -2.295 -3.860
1.233 -3.200 1.229
P Ca Pd H
1 2 1 1
direct
0.500 0.500 0.500
0.000 0.500 0.000
0.500 0.000 0.000
0.000 0.000 0.500
0.000 0.000 0.000

11.
Ca2PHPd6 | Alexandria | GGA-PBE | relaxed; magnetization = 0.000 μB per formula unit; theoretical density = 7.59 g/cm³; total DFT energy (no corrections) = -5.06 eV per atom
1.0
5.879 0.000 0.000
0.000 6.450 0.000
0.000 0.000 8.662
Ca P H Pd
4 2 2 12
direct
0.500 0.770 0.232
0.000 0.230 0.732
0.500 0.770 0.768
0.000 0.230 0.268
0.500 0.210 0.500
0.000 0.790 0.000
0.000 0.694 0.500
0.500 0.306 0.000
0.500 0.295 0.237
0.500 0.295 0.763
0.000 0.705 0.263
0.000 0.705 0.737
0.240 0.942 0.500
0.760 0.942 0.500
0.257 0.505 0.500
0.743 0.505 0.500
0.757 0.495 0.000
0.243 0.495 0.000
0.260 0.058 0.000
0.740 0.058 0.000

12.
CaPHPt6 | Alexandria | GGA-PBE | relaxed; magnetization = 0.000 μB per formula unit; theoretical density = 13.43 g/cm³; total DFT energy (no corrections) = -5.54 eV per atom
1.0
-7.441 0.341 1.707
-1.656 -0.486 -7.120
4.392 -5.400 3.116
Ca P H Pt
2 2 2 12
direct
0.935 0.685 0.870
0.065 0.315 0.130
0.500 0.500 0.000
0.500 0.000 0.000
0.500 0.000 0.500
0.000 0.000 0.500
0.371 0.621 0.743
0.787 0.037 0.575
0.859 0.086 0.253
0.394 0.668 0.253
0.394 0.086 0.253
0.859 0.668 0.253
0.629 0.379 0.257
0.213 0.963 0.425
0.141 0.914 0.747
0.606 0.332 0.747
0.606 0.914 0.747
0.141 0.332 0.747

Please write out number 6 again, unchanged.
CaPH | Alexandria | GGA-PBE | relaxed; magnetization = 0.000 μB per formula unit; theoretical density = 2.09 g/cm³; total DFT energy (no corrections) = -4.21 eV per atom; energy relative to the lowest polymorph listed for this composition = 0.347 eV per formula unit
1.0
4.123 0.000 0.000
0.000 4.123 0.000
-2.061 -2.061 3.376
P Ca H
1 1 1
direct
0.545 0.545 0.090
0.972 0.972 0.944
0.333 0.333 0.666

What did the second record say?
CaP2H | Alexandria | GGA-PBE | relaxed; magnetization = 0.393 μB per formula unit; theoretical density = 2.47 g/cm³; total DFT energy (no corrections) = -3.49 eV per atom; energy relative to the lowest polymorph listed for this composition = 2.575 eV per formula unit
1.0
0.000 3.260 3.260
3.260 0.000 3.260
3.260 3.260 0.000
P Ca H
2 1 1
direct
0.250 0.250 0.250
0.750 0.750 0.750
0.500 0.500 0.500
0.000 0.000 0.000

- magnetization of number 1 (Ca4P2H)?
  0.000 μB per formula unit

- What is the formula in the tenth record?
  Ca2PHPd